First-principles (PBE) data for Nd8Rh3AuI4 after structural relaxation, as listed in Alexandria via LeMat-Bulk.

Cell lengths 9.4824, 9.4824, 9.4824 Å; angles 53.09, 53.09, 53.09 degrees
Fractional coordinates of all 16 atoms:
1 Nd 0.2151 0.7357 0.7357
2 Nd 0.2292 0.2292 0.2292
3 Nd 0.2643 0.2643 0.7849
4 Nd 0.2643 0.7849 0.2643
5 Nd 0.7357 0.2151 0.7357
6 Nd 0.7357 0.7357 0.2151
7 Nd 0.7708 0.7708 0.7708
8 Nd 0.7849 0.2643 0.2643
9 Rh 0.0000 0.0000 0.5000
10 Rh 0.0000 0.5000 0.0000
11 Rh 0.5000 0.0000 0.0000
12 Au 0.5000 0.5000 0.5000
13 I 0.0000 0.0000 0.0000
14 I 0.0000 0.5000 0.5000
15 I 0.5000 0.0000 0.5000
16 I 0.5000 0.5000 0.0000

Output
SG: R-3m, No. 166
Magnetization in μB/f.u.: 0.00
E in eV per cell: -84.36
Uncorrected formation energy in eV per formula unit: -14.68